No. 1
Density functional theory data (SCAN) for a crystal of Mg5Re24 relaxed with PBEsol.

Structure (POSCAR):
```
Mg5Re24
1.0
-5.071 -0.236 -6.596
4.090 -7.223 0.615
-4.481 1.247 6.902
Mg Re
5 24
Cartesian
-1.937 -2.203 0.327
2.640 -4.662 0.397
-2.892 0.805 4.455
-3.273 -0.152 -4.257
0.000 0.000 0.000
-2.605 -5.253 0.691
-6.950 -0.526 0.362
-2.675 0.427 1.341
-2.785 0.151 -1.166
-4.372 -3.905 -0.699
-1.258 -4.867 4.842
0.684 -2.494 1.564
-0.908 -0.921 2.732
-4.258 -3.619 1.904
-1.625 -5.789 -3.545
-1.131 -1.482 -2.379
0.571 -2.780 -1.039
-4.601 -1.430 0.358
-0.124 -4.860 0.540
-5.228 0.335 -1.740
-5.062 0.754 2.070
-1.667 -3.667 2.668
-3.765 -2.083 -2.326
-1.420 -2.023 4.936
0.999 -4.414 3.161
-1.856 -4.142 -1.655
-3.531 -1.494 3.038
0.764 -5.003 -2.203
-1.822 -3.031 -4.239
```

Summary:
N(E_F), states/eV/atom: 0.6223
Calculated formation energy, meV per atom: -81
Total energy, eV for the cell shown: -1733.55

---

No. 2
Density functional theory data (SCAN) for a crystal of Tc2GeSbN relaxed with PBEsol.

Structure (POSCAR):
```
Tc2GeSbN
1.0
-3.696 1.378 0.211
-0.393 -0.299 -4.935
-1.706 -4.639 0.416
Sb Ge Tc N
1 1 2 1
Cartesian
0.000 0.000 0.000
-2.897 -1.780 -2.154
-0.853 -2.319 0.208
-0.196 -0.149 -2.468
-1.848 0.689 0.105
```

Summary:
N(E_F), states/eV/atom: 0.4255
Total energy, eV for the cell shown: -126.36

---

No. 3
Density functional theory data (SCAN) for a crystal of BaZnHg2 relaxed with PBEsol.

Structure (POSCAR):
```
BaZnHg2
1.0
-1.846 4.274 2.489
0.744 0.555 5.197
3.353 3.653 1.812
Ba Hg Zn
1 2 1
Cartesian
1.126 4.241 4.749
0.000 0.000 0.000
1.688 6.362 7.123
0.563 2.121 2.374
```

Summary:
N(E_F), states/eV/atom: 0.5611
Calculated formation energy, meV per atom: -273
Total energy, eV for the cell shown: -190.49

---

No. 4
Density functional theory data (SCAN) for a crystal of CeHg relaxed with PBEsol.

Structure (POSCAR):
```
CeHg
1.0
3.739 0.000 0.000
0.000 3.739 0.000
0.000 0.000 3.739
Hg Ce
1 1
Cartesian
0.000 0.000 0.000
1.870 1.870 1.870
```

Summary:
N(E_F), states/eV/atom: 2.8190
Calculated formation energy, meV per atom: -449
Total energy, eV for the cell shown: -113.63